Below is a geometry-optimized Y5Ho12Pu structure, with properties calculated at the PBE level.

Lattice parameters (Å, degrees): 11.4947 7.7365 10.9841 111.12 119.01 42.02
Closest atoms and distances in Å follow each position.
Positions (direct):
Y: 0.5000 0.0000 0.5000  8 Ho 3.35-3.56, 2 Y 3.45
Y: 0.1667 0.6666 0.5000  8 Ho 3.35-3.57, 2 Y 3.45
Y: 0.8333 0.3334 0.5000  8 Ho 3.35-3.57, 2 Y 3.45
Y: 0.6688 0.6624 0.0000  1 Pu 3.43, 10 Ho 3.43-3.64, 1 Y 3.50
Y: 0.3312 0.3376 0.0000  1 Pu 3.43, 10 Ho 3.43-3.64, 1 Y 3.50
Ho: 0.6910 0.0000 0.3292  7 Ho 3.46-3.76, 5 Y 3.51-3.64
Ho: 0.3090 0.0000 0.6708  7 Ho 3.46-3.76, 5 Y 3.51-3.64
Ho: 0.6653 0.0000 0.8485  3 Y 3.35-3.54, 1 Pu 3.37, 7 Ho 3.40-3.58
Ho: 0.3347 0.0000 0.1515  3 Y 3.35-3.54, 1 Pu 3.37, 7 Ho 3.40-3.58
Ho: 0.3239 0.6713 0.8483  3 Y 3.35-3.48, 7 Ho 3.40-3.60, 1 Pu 3.46
Ho: 0.0049 0.6713 0.1517  3 Y 3.35-3.48, 7 Ho 3.40-3.60, 1 Pu 3.46
Ho: 0.9951 0.3287 0.8483  3 Y 3.35-3.48, 7 Ho 3.40-3.60, 1 Pu 3.46
Ho: 0.6761 0.3287 0.1517  3 Y 3.35-3.48, 7 Ho 3.40-3.60, 1 Pu 3.46
Ho: 0.6443 0.3311 0.6742  7 Ho 3.43-3.81, 4 Y 3.53-3.60, 1 Pu 3.60
Ho: 0.9754 0.6689 0.6742  7 Ho 3.43-3.81, 4 Y 3.53-3.60, 1 Pu 3.60
Ho: 0.0246 0.3311 0.3258  7 Ho 3.43-3.81, 4 Y 3.53-3.60, 1 Pu 3.60
Ho: 0.3557 0.6689 0.3258  7 Ho 3.43-3.81, 4 Y 3.53-3.60, 1 Pu 3.60
Pu: 0.0000 0.0000 0.0000  10 Ho 3.37-3.60, 2 Y 3.43

Energy of formation from the pure elements   0.15 eV per atom
SG   No. 12
Size of the total moment   6.325 μB per formula unit

Below is a geometry-optimized Y3Ho4Pu structure, with properties calculated at the PBE level.

Lattice parameters (Å, degrees): 3.4241 11.5329 8.7557 131.19 101.28 90.00
Closest atoms and distances in Å follow each position.
Positions (direct):
Y: 0.0000 0.5000 0.0000  6 Y 3.42-3.75, 8 Ho 3.77
Y: 0.7625 0.7625 0.5251  6 Ho 3.35-3.59, 4 Y 3.42-3.75, 2 Pu 3.47
Y: 0.2375 0.2375 0.4749  6 Ho 3.35-3.59, 4 Y 3.42-3.75, 2 Pu 3.47
Ho: 0.6319 0.3795 0.2637  1 Pu 3.31, 3 Y 3.35-3.59, 5 Ho 3.36-3.46
Ho: 0.3681 0.6205 0.7363  1 Pu 3.31, 3 Y 3.35-3.59, 5 Ho 3.36-3.46
Ho: 0.3681 0.1158 0.7363  1 Pu 3.31, 3 Y 3.35-3.59, 5 Ho 3.36-3.46
Ho: 0.6319 0.8842 0.2637  1 Pu 3.31, 3 Y 3.35-3.59, 5 Ho 3.36-3.46
Pu: 0.5000 0.0000 0.0000  4 Ho 3.31, 2 Pu 3.42, 4 Y 3.47

Energy of formation from the pure elements   0.15 eV per atom
SG   No. 71
Size of the total moment   6.046 μB per formula unit

Below is a geometry-optimized Y12Ho5Pu structure, with properties calculated at the PBE level.

Lattice parameters (Å, degrees): 6.1779 6.1761 17.3652 93.40 96.81 59.99
Closest atoms and distances in Å follow each position.
Positions (direct):
Y: 0.7771 0.0000 0.3335  3 Ho 3.53-3.54, 9 Y 3.55-3.57
Y: 0.2229 0.0000 0.6665  3 Ho 3.53-3.54, 9 Y 3.55-3.57
Y: 0.6153 0.0000 0.8344  1 Pu 3.51, 2 Ho 3.53, 9 Y 3.53-3.58
Y: 0.3847 0.0000 0.1656  1 Pu 3.51, 2 Ho 3.53, 9 Y 3.53-3.58
Y: 0.2754 0.6699 0.8344  1 Pu 3.51, 2 Ho 3.53, 9 Y 3.53-3.58
Y: 0.0547 0.6699 0.1656  1 Pu 3.51, 2 Ho 3.53, 9 Y 3.53-3.58
Y: 0.9453 0.3301 0.8344  1 Pu 3.51, 2 Ho 3.53, 9 Y 3.53-3.58
Y: 0.7246 0.3301 0.1656  1 Pu 3.51, 2 Ho 3.53, 9 Y 3.53-3.58
Y: 0.5559 0.3334 0.6664  3 Ho 3.53, 9 Y 3.55-3.57
Y: 0.8893 0.6666 0.6664  3 Ho 3.53, 9 Y 3.55-3.57
Y: 0.1107 0.3334 0.3336  3 Ho 3.53, 9 Y 3.55-3.57
Y: 0.4441 0.6666 0.3336  3 Ho 3.53, 9 Y 3.55-3.57
Ho: 0.5000 0.0000 0.5000  6 Y 3.53, 6 Ho 3.56-3.57
Ho: 0.1670 0.6660 0.5000  6 Y 3.53-3.54, 6 Ho 3.56-3.57
Ho: 0.8330 0.3341 0.5000  6 Y 3.53-3.54, 6 Ho 3.56-3.57
Ho: 0.6668 0.6665 0.0000  6 Y 3.53, 3 Pu 3.56-3.57, 3 Ho 3.57
Ho: 0.3333 0.3335 0.0000  6 Y 3.53, 3 Pu 3.56-3.57, 3 Ho 3.57
Pu: 0.0000 0.0000 0.0000  6 Y 3.51, 6 Ho 3.56-3.57

Energy of formation from the pure elements   0.03 eV per atom
SG   No. 12
Size of the total moment   6.415 μB per formula unit

Below is a geometry-optimized Y7Ho12Pu structure, with properties calculated at the PBE level.

Lattice parameters (Å, degrees): 10.2001 10.2001 10.2001 109.47 109.47 109.47
Closest atoms and distances in Å follow each position.
Positions (direct):
Y: 0.5000 0.5000 0.0000  8 Ho 3.39-3.50
Y: 0.0000 0.5000 0.5000  8 Ho 3.39-3.50
Y: 0.5000 0.0000 0.5000  8 Ho 3.39-3.50
Y: 0.5000 0.5000 0.5000  6 Ho 3.16
Y: 0.0000 0.0000 0.5000  6 Ho 3.16
Y: 0.5000 0.0000 0.0000  6 Ho 3.16
Y: 0.0000 0.5000 0.0000  6 Ho 3.16
Ho: 0.3964 0.6519 0.7445  4 Y 3.16-3.50
Ho: 0.9074 0.6519 0.2555  4 Y 3.16-3.50
Ho: 0.6036 0.3481 0.2555  4 Y 3.16-3.50
Ho: 0.0926 0.3481 0.7445  4 Y 3.16-3.50
Ho: 0.7445 0.0926 0.3481  4 Y 3.16-3.50
Ho: 0.7445 0.3964 0.6519  4 Y 3.16-3.50
Ho: 0.2555 0.9074 0.6519  4 Y 3.16-3.50
Ho: 0.2555 0.6036 0.3481  4 Y 3.16-3.50
Ho: 0.6519 0.7445 0.3964  4 Y 3.16-3.50
Ho: 0.3481 0.2555 0.6036  4 Y 3.16-3.50
Ho: 0.6519 0.2555 0.9074  4 Y 3.16-3.50
Ho: 0.3481 0.7445 0.0926  4 Y 3.16-3.50
Pu: 0.0000 0.0000 0.0000  12 Ho 5.09, 8 Y 5.10

Energy of formation from the pure elements   0.86 eV per atom
SG   No. 204
Size of the total moment   6.877 μB per formula unit

The highest size of the total moment belongs to which entry?
Y7Ho12Pu